DFT (GGA-PBE) results for Ho5Zn4Rh after structural relaxation.

For the volume, the calculation gives 219 Å³/f.u. The calculated total energy comes out at -3.999 eV per atom. The calculation puts the mass density at 9.02 Mg/m³.

The space group is P4/mmm (No. 123) and the conventional cell measures 3.532, 3.532 and 17.557 Å, with angles of 90.00, 90.00 and 90.00 degrees. The distinct sites, in fractional coordinates, are Ho at (0.000, 0.000, 0.000), Ho at (0.000, 0.000, 0.203), Ho at (0.000, 0.000, 0.408), Zn at (0.500, 0.500, 0.102), Zn at (0.500, 0.500, 0.302) and Rh at (0.500, 0.500, 0.500).